RbU2F11 | GGA-PBE | relaxed

```
RbU2F11
1.0
-4.830 5.183 6.194
4.830 -5.183 6.194
4.830 5.183 -6.194
Rb U F
2 4 22
Direct
0.250 0.250 0.000
0.750 0.750 0.000
0.164 0.656 0.820
0.336 0.156 0.491
0.664 0.844 0.509
0.836 0.344 0.180
0.000 0.500 0.500
0.053 0.355 0.173
0.111 0.938 0.290
0.149 0.438 0.827
0.182 0.880 0.827
0.199 0.310 0.509
0.301 0.810 0.111
0.318 0.145 0.698
0.351 0.178 0.290
0.389 0.678 0.827
0.447 0.620 0.302
0.500 0.000 0.500
0.553 0.380 0.698
0.611 0.322 0.173
0.649 0.822 0.710
0.682 0.855 0.302
0.699 0.190 0.889
0.801 0.690 0.491
0.818 0.120 0.173
0.851 0.562 0.173
0.889 0.062 0.710
0.947 0.645 0.827
```

Its space group is Ibam, No. 72. Its magnetic moment is 0.14 μB per atom. The value obtained for the uncorrected formation energy is -3496.6 meV/atom.